An optimized crystal structure of HgMoW, computed with GGA-PBE.

The structure in POSCAR format:
```
HgMoW
1.0
4.644 0.000 0.000
-2.322 4.022 0.000
0.000 0.000 2.788
Hg Mo W
1 1 1
direct
0.000 0.000 0.000
0.333 0.667 0.388
0.667 0.333 0.629
```

Properties
DOS(E_F): 0.49 states/eV per atom
E_tot: -0.5485 Ry per atom
total magnetic moment: 0.0 μB per cell
calculated formation energy: 565.7 meV per atom
excess energy over the best structure of this formula in the dataset: 0.073 eV/atom

***

An optimized crystal structure of HgMoW, computed with GGA-PBE.

The structure in POSCAR format:
```
HgMoW
1.0
0.000 3.143 3.143
3.143 0.000 3.143
3.143 3.143 0.000
Hg Mo W
1 1 1
direct
0.000 0.000 0.000
0.250 0.250 0.250
0.500 0.500 0.500
```

Properties
DOS(E_F): 0.55 states/eV per atom
E_tot: -0.5017 Ry per atom
total magnetic moment: 0.0 μB per cell
calculated formation energy: 1202.2 meV per atom
excess energy over the best structure of this formula in the dataset: 0.710 eV/atom

***

An optimized crystal structure of HgMoW3, computed with GGA-PBE.

The structure in POSCAR format:
```
HgMoW3
1.0
4.759 0.000 0.000
0.000 4.759 0.000
0.000 0.000 4.759
Hg Mo W
1 1 3
direct
0.000 0.000 0.000
0.500 0.500 0.500
0.000 0.500 0.500
0.500 0.000 0.500
0.500 0.500 0.000
```

Properties
DOS(E_F): 1.22 states/eV per atom
E_tot: -0.5816 Ry per atom
total magnetic moment: 0.0 μB per cell
calculated formation energy: 2085.0 meV per atom
excess energy over the best structure of this formula in the dataset: 0.000 eV/atom

***

An optimized crystal structure of HgMo3W, computed with GGA-PBE.

The structure in POSCAR format:
```
HgMo3W
1.0
4.778 0.000 0.000
0.000 4.778 0.000
0.000 0.000 4.778
Hg Mo W
1 3 1
direct
0.000 0.000 0.000
0.000 0.500 0.500
0.500 0.000 0.500
0.500 0.500 0.000
0.500 0.500 0.500
```

Properties
DOS(E_F): 1.15 states/eV per atom
E_tot: -0.5461 Ry per atom
total magnetic moment: 0.0 μB per cell
calculated formation energy: 1719.9 meV per atom
excess energy over the best structure of this formula in the dataset: 0.000 eV/atom

***

An optimized crystal structure of Hg3MoW, computed with GGA-PBE.

The structure in POSCAR format:
```
Hg3MoW
1.0
5.299 0.000 0.000
0.000 5.299 0.000
0.000 0.000 5.299
Hg Mo W
3 1 1
direct
0.000 0.000 0.500
0.000 0.500 0.000
0.500 0.000 0.000
0.500 0.500 0.500
0.000 0.000 0.000
```

Properties
DOS(E_F): 0.74 states/eV per atom
E_tot: -0.2328 Ry per atom
total magnetic moment: 2.9 μB per cell
calculated formation energy: 1771.0 meV per atom
excess energy over the best structure of this formula in the dataset: 0.000 eV/atom

***

An optimized crystal structure of HgMoW3, computed with GGA-PBE.

The structure in POSCAR format:
```
HgMoW3
1.0
4.833 0.000 0.000
0.000 4.833 0.000
0.000 0.000 4.833
Hg Mo W
1 1 3
direct
0.000 0.000 0.000
0.500 0.500 0.500
0.000 0.000 0.500
0.000 0.500 0.000
0.500 0.000 0.000
```

Properties
DOS(E_F): 1.85 states/eV per atom
E_tot: -0.4908 Ry per atom
total magnetic moment: 0.0 μB per cell
calculated formation energy: 3321.2 meV per atom
excess energy over the best structure of this formula in the dataset: 1.236 eV/atom